1.
Entry from Alexandria: crystalline LaHgC2O6 at its relaxed geometry (PBE-GGA).

Output
* size of the total moment: 0.00 Bohr magnetons per cell
* space-group type: C2/c, No. 15
* energy: -7.079 eV per atom

abc: 6.7298 6.7298 7.4635
angles: 107.90 107.90 92.87
Last column: nearest neighbours and their distance in Å.
Fractional positions:
La (0.1018, 0.8982, 0.7500)  8 O 2.40-2.64
La (0.8982, 0.1018, 0.2500)  8 O 2.40-2.64
Hg (0.3900, 0.6100, 0.2500)  2 O 2.56
Hg (0.6100, 0.3900, 0.7500)  2 O 2.56
C (0.1165, 0.3624, 0.7715)  3 O 1.27-1.31
C (0.3624, 0.1165, 0.2715)  3 O 1.27-1.31
C (0.6376, 0.8835, 0.7285)  3 O 1.27-1.31
C (0.8835, 0.6376, 0.2285)  3 O 1.27-1.31
O (0.0139, 0.7955, 0.3790)  1 C 1.31
O (0.1143, 0.5526, 0.7759)  1 C 1.27
O (0.2045, 0.9861, 0.1210)  1 C 1.31
O (0.2457, 0.3086, 0.9131)  1 C 1.31
O (0.3086, 0.2457, 0.4131)  1 C 1.31
O (0.4474, 0.8857, 0.7241)  1 C 1.27
O (0.5526, 0.1143, 0.2759)  1 C 1.27
O (0.6914, 0.7543, 0.5869)  1 C 1.31
O (0.7543, 0.6914, 0.0869)  1 C 1.31
O (0.7955, 0.0139, 0.8790)  1 C 1.31
O (0.8857, 0.4474, 0.2241)  1 C 1.27
O (0.9861, 0.2045, 0.6210)  1 C 1.31

2.
Entry from Alexandria: crystalline CeEuZn2 at its relaxed geometry (PBE-GGA).

Output
* size of the total moment: 19.65 Bohr magnetons per cell
* space-group type: R-3m, No. 166
* energy: -4.671 eV per atom

abc: 3.5562 3.5562 28.8940
angles: 90.00 90.00 120.00
Last column: nearest neighbours and their distance in Å.
Fractional positions:
Ce (0.0000, 0.0000, 0.0000)  6 Zn 3.13
Ce (0.3333, 0.6667, 0.6667)  6 Zn 3.13
Ce (0.6667, 0.3333, 0.3333)  6 Zn 3.13
Eu (0.0000, 0.0000, 0.5000)  6 Zn 3.20, 6 Eu 3.56
Eu (0.3333, 0.6667, 0.1667)  6 Zn 3.20, 6 Eu 3.56
Eu (0.6667, 0.3333, 0.8333)  6 Zn 3.20, 6 Eu 3.56
Zn (0.0000, 0.0000, 0.2515)  3 Ce 3.13, 3 Eu 3.20
Zn (0.0000, 0.0000, 0.7485)  3 Ce 3.13, 3 Eu 3.20
Zn (0.3333, 0.6667, 0.4152)  3 Ce 3.13, 3 Eu 3.20
Zn (0.3333, 0.6667, 0.9182)  3 Ce 3.13, 3 Eu 3.20
Zn (0.6667, 0.3333, 0.0818)  3 Ce 3.13, 3 Eu 3.20
Zn (0.6667, 0.3333, 0.5848)  3 Ce 3.13, 3 Eu 3.20

Calculated density, 5.1; 6.7 g/cm3 (same order as the records).